Below is a relaxed CrNiPtF2 crystal, with properties calculated at the PBE with a Hubbard U level.

The total energy is -4.3914 eV/atom. Its mass density is 6.19 g/cm3.

It has space group P4/mmm (No. 123), with a = 3.650 Å, b = 3.650 Å, c = 6.923 Å, α = 90.00°, β = 90.00° and γ = 90.00°. The inequivalent atoms are Cr at (0.000, 0.000, 0.000), Ni at (0.000, 0.000, 0.500), Pt at (0.500, 0.500, 0.000) and F at (0.000, 0.500, 0.500).